Entry 1:
DFT (PBE) results for crystalline Ce2DyZn2Hg2 at its relaxed geometry.

symmetry = R-3m, No. 166
D(E_F) = 9.42 states/eV/f.u.
electronic total energy = -3.063 eV/atom
ΔE_f = -1.82 eV per formula unit

```
Ce2DyZn2Hg2
1.0
-0.568 -4.500 -0.446
1.274 -2.802 3.361
-7.913 -1.767 4.616
Ce Dy Hg Zn
2 1 2 2
Direct
0.858 0.858 0.425
0.142 0.142 0.575
0.000 0.000 0.000
0.733 0.733 0.802
0.267 0.267 0.198
0.409 0.409 0.772
0.591 0.591 0.228
```

Entry 2:
DFT (PBE) results for crystalline CeDy10Ho6 at its relaxed geometry.

symmetry = P-31m, No. 162
D(E_F) = 26.30 states/eV/f.u.
electronic total energy = -4.522 eV/atom
ΔE_f = 2.54 eV per formula unit

```
CeDy10Ho6
1.0
-1.086 -0.074 -6.694
-4.919 -8.203 0.889
-4.561 8.429 0.647
Dy Ho Ce
10 6 1
Direct
0.816 0.273 0.000
0.000 0.667 0.333
0.184 0.000 0.727
0.500 0.667 0.333
0.816 0.727 0.727
0.000 0.333 0.667
0.184 0.273 0.273
0.184 0.727 0.000
0.500 0.333 0.667
0.816 0.000 0.273
0.302 0.377 0.000
0.698 0.000 0.623
0.698 0.377 0.377
0.698 0.623 0.000
0.302 0.000 0.377
0.302 0.623 0.623
0.500 0.000 0.000
```

Entry 3:
DFT (PBE) results for crystalline CeDy5Ho6 at its relaxed geometry.

symmetry = C2/m, No. 12
D(E_F) = 18.34 states/eV/f.u.
electronic total energy = -4.664 eV/atom
ΔE_f = 0.44 eV per formula unit

```
CeDy5Ho6
1.0
4.797 0.016 -1.398
-1.377 8.764 -4.561
0.123 -0.805 9.314
Ce Ho Dy
1 6 5
Direct
0.000 0.000 0.000
0.834 0.585 0.669
0.166 0.916 0.331
0.166 0.415 0.331
0.500 0.752 0.000
0.834 0.084 0.669
0.500 0.248 0.000
0.667 0.166 0.333
0.667 0.667 0.334
0.333 0.834 0.667
0.333 0.333 0.666
0.000 0.500 0.000
```

Entry 4:
DFT (PBE) results for crystalline Ce2Dy12Ho5 at its relaxed geometry.

symmetry = C2/m, No. 12
excess energy over the best structure of this formula in the dataset = 39.4 meV per atom
D(E_F) = 30.20 states/eV/f.u.
electronic total energy = -4.594 eV/atom
ΔE_f = 2.70 eV per formula unit

```
Ce2Dy12Ho5
1.0
9.153 0.000 0.000
-4.576 11.113 -1.898
0.000 -5.188 6.827
Dy Ho Ce
12 5 2
Direct
0.560 0.120 0.777
0.325 0.291 0.054
0.440 0.880 0.223
0.675 0.709 0.946
0.440 0.265 0.579
0.068 0.137 0.264
0.825 0.265 0.579
0.932 0.863 0.736
0.966 0.291 0.054
0.560 0.735 0.421
0.175 0.735 0.421
0.034 0.709 0.946
0.286 0.573 0.612
0.714 0.427 0.388
0.231 0.461 0.896
0.000 0.000 0.500
0.769 0.539 0.104
0.351 0.000 0.000
0.649 0.000 0.000
```